# Y3B2Au

An optimized crystal structure of Y3B2Au (PBE-GGA, OQMD).

Properties
The calculation puts the calculated volume at 21.3 Å³ per atom. The uncorrected energy is -6.12 eV/atom. For the total moment, the calculation gives 0.00 μB per atom.

Structure (CIF):
```
data_Y3B2Au
_chemical_formula_sum 'Y6 B4 Au2'
_symmetry_space_group_name_H-M 'P 63/m m c'
_symmetry_Int_Tables_number 194
_symmetry_space_group_name_Hall '-P 6c 2c'
_cell_length_a 3.7108
_cell_length_b 3.7108
_cell_length_c 21.3912
_cell_angle_alpha 90.00
_cell_angle_beta 90.00
_cell_angle_gamma 120.00
loop_
_atom_site_label
_atom_site_type_symbol
_atom_site_fract_x
_atom_site_fract_y
_atom_site_fract_z
Y1 Y 0.0000 0.0000 0.0000
Y2 Y 0.3333 0.6667 0.1466
B1 B 0.3333 0.6667 0.5791
Au1 Au 0.0000 0.0000 0.2500
```


# ZnBAu

An optimized crystal structure of ZnBAu (PBE-GGA, OQMD).

Properties
The calculation puts the calculated volume at 15.5 Å³ per atom. The uncorrected energy is -2.99 eV/atom.

Structure (CIF):
```
data_ZnBAu
_chemical_formula_sum 'Zn4 B4 Au4'
_symmetry_space_group_name_H-M 'F -4 3 m'
_symmetry_Int_Tables_number 216
_symmetry_space_group_name_Hall 'F -4 2 3'
_cell_length_a 5.705
_cell_length_b 5.705
_cell_length_c 5.705
_cell_angle_alpha 90.00
_cell_angle_beta 90.00
_cell_angle_gamma 90.00
loop_
_atom_site_label
_atom_site_type_symbol
_atom_site_fract_x
_atom_site_fract_y
_atom_site_fract_z
Zn1 Zn 0.000 0.000 0.000
B1 B 0.000 0.000 0.500
Au1 Au 0.250 0.250 0.750
```


# ZnBAu2

An optimized crystal structure of ZnBAu2 (PBE-GGA, OQMD).

Properties
The calculation puts the calculated volume at 15.4 Å³ per atom. The uncorrected energy is -2.87 eV/atom.

Structure (CIF):
```
data_ZnBAu2
_chemical_formula_sum 'Zn4 B4 Au8'
_symmetry_space_group_name_H-M 'F -4 3 m'
_symmetry_Int_Tables_number 216
_symmetry_space_group_name_Hall 'F -4 2 3'
_cell_length_a 6.273
_cell_length_b 6.273
_cell_length_c 6.273
_cell_angle_alpha 90.00
_cell_angle_beta 90.00
_cell_angle_gamma 90.00
loop_
_atom_site_label
_atom_site_type_symbol
_atom_site_fract_x
_atom_site_fract_y
_atom_site_fract_z
Zn1 Zn 0.000 0.000 0.000
B1 B 0.250 0.250 0.750
Au1 Au 0.000 0.000 0.500
Au2 Au 0.250 0.250 0.250
```


# ZnB4Au

An optimized crystal structure of ZnB4Au (PBE-GGA, OQMD).

Properties
The calculation puts the calculated volume at 10.0 Å³ per atom. As for the energy above the most stable polymorph in this dataset: 1.77 kJ/mol of atoms. The uncorrected energy is -4.70 eV/atom.

Structure (CIF):
```
data_ZnB4Au
_chemical_formula_sum 'Zn2 B8 Au2'
_symmetry_space_group_name_H-M 'I m m m'
_symmetry_Int_Tables_number 71
_symmetry_space_group_name_Hall '-I 2 2'
_cell_length_a 3.057
_cell_length_b 5.263
_cell_length_c 7.477
_cell_angle_alpha 90.00
_cell_angle_beta 90.00
_cell_angle_gamma 90.00
loop_
_atom_site_label
_atom_site_type_symbol
_atom_site_fract_x
_atom_site_fract_y
_atom_site_fract_z
Zn1 Zn 0.000 0.000 0.000
B1 B 0.000 0.331 0.261
Au1 Au 0.000 0.000 0.500
```


# Zn2BAu

An optimized crystal structure of Zn2BAu (PBE-GGA, OQMD).

Properties
The calculation puts the calculated volume at 14.0 Å³ per atom. The uncorrected energy is -2.43 eV/atom.

Structure (CIF):
```
data_Zn2BAu
_chemical_formula_sum 'Zn8 B4 Au4'
_symmetry_space_group_name_H-M 'F -4 3 m'
_symmetry_Int_Tables_number 216
_symmetry_space_group_name_Hall 'F -4 2 3'
_cell_length_a 6.067
_cell_length_b 6.067
_cell_length_c 6.067
_cell_angle_alpha 90.00
_cell_angle_beta 90.00
_cell_angle_gamma 90.00
loop_
_atom_site_label
_atom_site_type_symbol
_atom_site_fract_x
_atom_site_fract_y
_atom_site_fract_z
Zn1 Zn 0.000 0.000 0.000
Zn2 Zn 0.250 0.250 0.250
B1 B 0.000 0.000 0.500
Au1 Au 0.250 0.250 0.750
```


# ZnB4Au

An optimized crystal structure of ZnB4Au (PBE-GGA, OQMD).

Properties
The calculation puts the calculated volume at 10.0 Å³ per atom. As for the energy above the most stable polymorph in this dataset: 0.00 kJ/mol of atoms. The uncorrected energy is -4.72 eV/atom.

Structure (CIF):
```
data_ZnB4Au
_chemical_formula_sum 'Zn1 B4 Au1'
_symmetry_space_group_name_H-M 'P 6/m m m'
_symmetry_Int_Tables_number 191
_symmetry_space_group_name_Hall '-P 6 2'
_cell_length_a 3.0522
_cell_length_b 3.0522
_cell_length_c 7.4106
_cell_angle_alpha 90.00
_cell_angle_beta 90.00
_cell_angle_gamma 120.00
loop_
_atom_site_label
_atom_site_type_symbol
_atom_site_fract_x
_atom_site_fract_y
_atom_site_fract_z
Zn1 Zn 0.0000 0.0000 0.0000
B1 B 0.3333 0.6667 0.2266
Au1 Au 0.0000 0.0000 0.5000
```


Which of these has the lowest uncorrected energy? Y3B2Au


Look up the uncorrected energy of the second one. -2.99 eV/atom


The lowest uncorrected energy belongs to which entry? Y3B2Au